DFT (PBE) results for CsSrAl3 after structural relaxation.

Calculated values
ΔH_f (0 K) in eV per atom: 0.906
V in A^3/atom: 47.53

Cell: 6.1943 6.1943 6.1943 Å, 90.00 90.00 90.00°
Closest atoms and distances in Å follow each position.
Space group Pm-3m (No. 221)
Asymmetric unit:
Cs1 0.0000 0.0000 0.0000 (multiplicity 1)  12 Al 4.38
Sr1 0.5000 0.5000 0.5000 (multiplicity 1)  6 Al 3.10
Al1 0.0000 0.5000 0.5000 (multiplicity 3)  2 Sr 3.10